Record 1
DFT (PBE) results for a geometry-optimized MgCl2 structure.

a b c (Å): 6.2924 6.2924 6.2924
angles (deg): 90.00 90.00 90.00
Closest atoms and distances in Å follow each position.
Element x y z (fractional)
Mg (0.0000, 0.0000, 0.0000)  6 Cl 2.57
Mg (0.5000, 0.5000, 0.0000)  6 Cl 2.57
Mg (0.5000, 0.0000, 0.5000)  6 Cl 2.57
Mg (0.0000, 0.5000, 0.5000)  6 Cl 2.57
Cl (0.6544, 0.6544, 0.3456)  3 Mg 2.57
Cl (0.3456, 0.3456, 0.6544)  3 Mg 2.57
Cl (0.1544, 0.8456, 0.6544)  3 Mg 2.57
Cl (0.8456, 0.1544, 0.3456)  3 Mg 2.57
Cl (0.3456, 0.1544, 0.1544)  3 Mg 2.57
Cl (0.6544, 0.8456, 0.8456)  3 Mg 2.57
Cl (0.8456, 0.3456, 0.8456)  3 Mg 2.57
Cl (0.1544, 0.6544, 0.1544)  3 Mg 2.57

Formation energy (no corrections) in meV/atom: -1725



Record 2
DFT (PBE) results for a geometry-optimized IrSe2I2 structure.

a b c (Å): 8.2581 6.9861 9.9951
angles (deg): 68.78 52.24 53.77
Closest atoms and distances in Å follow each position.
Element x y z (fractional)
Ir (0.1498, 0.7005, 0.0000)  4 Se 2.53, 2 I 2.62
Ir (0.8502, 0.2995, 0.0000)  4 Se 2.53, 2 I 2.62
Se (0.0131, 0.0000, 0.1821)  1 Se 2.45, 2 Ir 2.53
Se (0.7168, 0.0000, 0.1823)  1 Se 2.45, 2 Ir 2.53
Se (0.2832, 0.0000, 0.8177)  1 Se 2.45, 2 Ir 2.53
Se (0.9869, 0.0000, 0.8179)  1 Se 2.45, 2 Ir 2.53
I (0.4873, 0.3762, 0.7618)  1 Ir 2.62
I (0.5127, 0.6238, 0.2382)  1 Ir 2.62
I (0.8635, 0.6238, 0.7618)  1 Ir 2.62
I (0.1365, 0.3762, 0.2382)  1 Ir 2.62

Distance to the lowest polymorph of the same formula in meV per atom: 0
Formation energy (no corrections) in meV/atom: 77



Record 3
DFT (PBE) results for a geometry-optimized Mg2TlPb structure.

a b c (Å): 5.2942 3.5160 5.4978
angles (deg): 89.98 90.00 90.00
Closest atoms and distances in Å follow each position.
Element x y z (fractional)
Pb (0.0000, 0.6250, 0.3775)  8 Mg 3.18-3.26, 2 Pb 3.52
Tl (0.5000, 0.6250, 0.8731)  8 Mg 3.18-3.27, 2 Tl 3.52
Mg (0.0000, 0.1250, 0.8775)  4 Tl 3.18, 4 Pb 3.26, 2 Mg 3.52
Mg (0.5000, 0.1250, 0.3719)  4 Pb 3.18, 4 Tl 3.26-3.27, 2 Mg 3.52

Distance to the lowest polymorph of the same formula in meV per atom: 0
Energy of formation from the pure elements in eV/atom: -0.05



Number 1: electronic total energy -3.488 eV per atom. Number 2: electronic total energy -3.709 eV per atom. Number 3: electronic total energy -2.367 eV per atom.